The following is a DFT calculation (PBE-GGA) of a relaxed structure of Li6MnPd12.

Cell and atoms, written as POSCAR:
```
Li6MnPd12
1.0
7.1345 -0.8764 -1.0499
-1.9479 6.9192 -1.0499
-1.9479 -2.2694 6.6202
Pd Mn Li
12 1 6
Direct
0.5240 0.7912 0.6861
0.1031 0.1642 0.7372
0.7372 0.1031 0.1642
0.2628 0.8969 0.8358
0.6861 0.5240 0.7912
0.7912 0.6861 0.5240
0.8358 0.2628 0.8969
0.4760 0.2088 0.3139
0.8969 0.8358 0.2628
0.2088 0.3139 0.4760
0.1642 0.7372 0.1031
0.3139 0.4760 0.2088
0.0000 0.0000 0.0000
0.5685 0.3613 0.0537
0.3613 0.0537 0.5685
0.9463 0.4315 0.6387
0.6387 0.9463 0.4315
0.4315 0.6387 0.9463
0.0537 0.5685 0.3613
```

Results
Space-group type: R-3
Formation energy, eV/f.u.: -5.99